VASP calculation (PBE) on a relaxed HfH3S crystal.

The calculation puts the polymorph energy (0 for the lowest one) at 0.000 eV per atom. As for the space group: Pm-3m, No. 221.

```
HfH3S
1.0
3.7488 0.0000 0.0000
0.0000 3.7488 0.0000
0.0000 0.0000 3.7488
Hf H S
1 3 1
Cartesian
0.0000 0.0000 0.0000
0.0000 0.0000 1.8744
0.0000 1.8744 0.0000
1.8744 0.0000 0.0000
1.8744 1.8744 1.8744
```